1.
The following is a DFT calculation (GGA-PBE) of a geometry-optimized MnFe2Ag structure.

## Properties
ΔE_f ... 0.34 eV per atom
Calculated total energy ... -6.893 eV per atom
V ... 53.2 Å³/f.u.
Density ... 8.57 Mg/m³
E above lowest polymorph ... 65 meV per atom

```
data_MnFe2Ag
_symmetry_space_group_name_H-M 'P 1'
_symmetry_Int_Tables_number 1
_cell_length_a 8.971
_cell_length_b 8.971
_cell_length_c 8.971
_cell_angle_alpha 16.89
_cell_angle_beta 16.89
_cell_angle_gamma 16.89
loop_
_symmetry_equiv_pos_as_xyz
'x,y,z'
loop_
_atom_site_label
_atom_site_type_symbol
_atom_site_fract_x
_atom_site_fract_y
_atom_site_fract_z
Fe1 Fe 0.994 0.994 0.994
Fe2 Fe 0.248 0.248 0.248
Ag1 Ag 0.750 0.750 0.750
Mn1 Mn 0.508 0.508 0.508
```

***

2.
The following is a DFT calculation (GGA-PBE) of a geometry-optimized Cd2CoTc structure.

## Properties
ΔE_f ... 0.51 eV per atom
Calculated total energy ... -4.317 eV per atom
V ... 65.9 Å³/f.u.
Density ... 9.61 Mg/m³
E above lowest polymorph ... 329 meV per atom

```
data_Cd2CoTc
_symmetry_space_group_name_H-M 'P 1'
_symmetry_Int_Tables_number 1
_cell_length_a 4.788
_cell_length_b 4.788
_cell_length_c 4.788
_cell_angle_alpha 128.16
_cell_angle_beta 128.16
_cell_angle_gamma 76.36
loop_
_symmetry_equiv_pos_as_xyz
'x,y,z'
loop_
_atom_site_label
_atom_site_type_symbol
_atom_site_fract_x
_atom_site_fract_y
_atom_site_fract_z
Co1 Co 0.500 0.500 0.000
Cd1 Cd 0.000 0.000 0.000
Cd2 Cd 0.250 0.750 0.500
Tc1 Tc 0.750 0.250 0.500
```

***

3.
The following is a DFT calculation (GGA-PBE) of a geometry-optimized LiDyCd2Ag4 structure.

## Properties
ΔE_f ... -0.22 eV per atom
Calculated total energy ... -2.685 eV per atom
V ... 158.0 Å³/f.u.
Density ... 8.68 Mg/m³

```
data_LiDyCd2Ag4
_symmetry_space_group_name_H-M 'P 1'
_symmetry_Int_Tables_number 1
_cell_length_a 4.836
_cell_length_b 4.836
_cell_length_c 8.289
_cell_angle_alpha 73.04
_cell_angle_beta 73.04
_cell_angle_gamma 60.00
loop_
_symmetry_equiv_pos_as_xyz
'x,y,z'
loop_
_atom_site_label
_atom_site_type_symbol
_atom_site_fract_x
_atom_site_fract_y
_atom_site_fract_z
Ag1 Ag 0.130 0.130 0.610
Ag2 Ag 0.614 0.614 0.159
Ag3 Ag 0.870 0.870 0.390
Ag4 Ag 0.386 0.386 0.841
Cd1 Cd 0.748 0.748 0.757
Cd2 Cd 0.252 0.252 0.243
Li1 Li 0.500 0.500 0.500
Dy1 Dy 0.000 0.000 0.000
```

***

Number 1: total magnetic moment 2.3 μB per cell. Number 2: total magnetic moment 2.8 μB per cell. Number 3: total magnetic moment 0.0 μB per cell.